A relaxed structure of BeCuP2, computed with GGA-PBE.

Summary:
As for the total energy: -4.49 eV/atom. The magnetic moment is 0.000 μB/cell. The calculation puts the formation energy at 0.170 eV/atom.

Cell lengths 2.5015, 3.4980, 6.5926 Å; angles 90.00, 90.00, 90.00 degrees
Space group Pmm2 (No. 25)
One atom of each set of equivalent atoms:
Be1 0.0000 0.0000 0.0000 [1 per cell]
Cu1 0.5000 0.5000 0.1912 [1 per cell]
P1 0.0000 0.0000 0.3697 [1 per cell]
P2 0.5000 0.5000 0.8265 [1 per cell]